# PBE YThSb2, optimized geometry
# E_form (uncorrected) = -0.933 eV/atom
# Volume = 31.78 Å³/atom
# Energy above the most stable polymorph in this dataset = 0.106 eV/atom
# Uncorrected energy = -0.4752 Ry per atom
data_YThSb2
_chemical_formula_sum 'Y3 Th3 Sb6'
_cell_length_a 4.3981
_cell_length_b 4.3981
_cell_length_c 22.7663
_cell_angle_alpha 90.00
_cell_angle_beta 90.00
_cell_angle_gamma 120.00
_symmetry_space_group_name_H-M 'R 3 m'
_symmetry_Int_Tables_number 160
_symmetry_space_group_name_Hall 'R 3 -2"'
loop_
_atom_site_label
_atom_site_fract_x
_atom_site_fract_y
_atom_site_fract_z
_atom_site_occupancy
Y1 0.0000 0.0000 0.0000 1
Th1 0.0000 0.0000 0.1729 1
Sb1 0.0000 0.0000 0.5884 1
Sb2 0.0000 0.0000 0.7524 1


# PBE Y5Th3Sb8, optimized geometry
# E_form (uncorrected) = -1.076 eV/atom
# Volume = 30.88 Å³/atom
# Uncorrected energy = -0.4813 Ry per atom
data_Y5Th3Sb8
_chemical_formula_sum 'Y15 Th9 Sb24'
_cell_length_a 8.8857
_cell_length_b 8.8857
_cell_length_c 21.6762
_cell_angle_alpha 90.00
_cell_angle_beta 90.00
_cell_angle_gamma 120.00
_symmetry_space_group_name_H-M 'R -3 m'
_symmetry_Int_Tables_number 166
_symmetry_space_group_name_Hall '-R 3 2"'
loop_
_atom_site_label
_atom_site_fract_x
_atom_site_fract_y
_atom_site_fract_z
_atom_site_occupancy
Y1 0.0000 0.0000 0.0000 1
Y2 0.0000 0.0000 0.5000 1
Y3 0.0000 0.5000 0.0000 1
Th1 0.0000 0.5000 0.5000 1
Sb1 0.0000 0.0000 0.2530 1
Sb2 0.0035 0.5018 0.2518 1


# PBE YThSb2, optimized geometry
# E_form (uncorrected) = -1.040 eV/atom
# Volume = 31.12 Å³/atom
# Energy above the most stable polymorph in this dataset = 0.000 eV/atom
# Uncorrected energy = -0.4830 Ry per atom
data_YThSb2
_chemical_formula_sum 'Y3 Th3 Sb6'
_cell_length_a 4.4626
_cell_length_b 4.4626
_cell_length_c 21.6470
_cell_angle_alpha 90.00
_cell_angle_beta 90.00
_cell_angle_gamma 120.00
_symmetry_space_group_name_H-M 'R -3 m'
_symmetry_Int_Tables_number 166
_symmetry_space_group_name_Hall '-R 3 2"'
loop_
_atom_site_label
_atom_site_fract_x
_atom_site_fract_y
_atom_site_fract_z
_atom_site_occupancy
Y1 0.0000 0.0000 0.0000 1
Th1 0.0000 0.0000 0.5000 1
Sb1 0.0000 0.0000 0.2528 1


# PBE YTh2Sb, optimized geometry
# E_form (uncorrected) = -0.441 eV/atom
# Volume = 28.95 Å³/atom
# Uncorrected energy = -0.4996 Ry per atom
data_YTh2Sb
_chemical_formula_sum 'Y1 Th2 Sb1'
_cell_length_a 4.711
_cell_length_b 4.711
_cell_length_c 5.218
_cell_angle_alpha 90.00
_cell_angle_beta 90.00
_cell_angle_gamma 90.00
_symmetry_space_group_name_H-M 'P 4/m m m'
_symmetry_Int_Tables_number 123
_symmetry_space_group_name_Hall '-P 4 2'
loop_
_atom_site_label
_atom_site_fract_x
_atom_site_fract_y
_atom_site_fract_z
_atom_site_occupancy
Y1 0.000 0.000 0.000 1
Th1 0.000 0.500 0.500 1
Sb1 0.500 0.500 0.000 1


# PBE YTh2Sb4, optimized geometry
# E_form (uncorrected) = -0.910 eV/atom
# Volume = 29.45 Å³/atom
# Uncorrected energy = -0.4637 Ry per atom
data_YTh2Sb4
_chemical_formula_sum 'Y4 Th8 Sb16'
_cell_length_a 9.345
_cell_length_b 9.345
_cell_length_c 9.442
_cell_angle_alpha 90.00
_cell_angle_beta 90.00
_cell_angle_gamma 90.00
_symmetry_space_group_name_H-M 'I -4 2 d'
_symmetry_Int_Tables_number 122
_symmetry_space_group_name_Hall 'I -4 2bw'
loop_
_atom_site_label
_atom_site_fract_x
_atom_site_fract_y
_atom_site_fract_z
_atom_site_occupancy
Y1 0.000 0.000 0.000 1
Th1 0.121 0.750 0.625 1
Sb1 0.080 0.675 0.957 1


# PBE YThSb, optimized geometry
# E_form (uncorrected) = -0.684 eV/atom
# Volume = 29.74 Å³/atom
# Uncorrected energy = -0.4914 Ry per atom
data_YThSb
_chemical_formula_sum 'Y2 Th2 Sb2'
_cell_length_a 4.483
_cell_length_b 4.483
_cell_length_c 8.880
_cell_angle_alpha 90.00
_cell_angle_beta 90.00
_cell_angle_gamma 90.00
_symmetry_space_group_name_H-M 'P 4/n m m'
_symmetry_Int_Tables_number 129
loop_
_symmetry_equiv_pos_as_xyz
'x,y,z'
'-x,-y,-z'
'-y+1/2,x,z'
'y+1/2,-x,-z'
'-x+1/2,-y+1/2,z'
'x+1/2,y+1/2,-z'
'y,-x+1/2,z'
'-y,x+1/2,-z'
'x+1/2,-y,-z'
'-x+1/2,y,z'
'-y,-x,-z'
'y,x,z'
'-x,y+1/2,-z'
'x,-y+1/2,z'
'y+1/2,x+1/2,-z'
'-y+1/2,-x+1/2,z'
loop_
_atom_site_label
_atom_site_fract_x
_atom_site_fract_y
_atom_site_fract_z
_atom_site_occupancy
Y1 0.250 0.250 0.139 1
Th1 0.250 0.750 0.500 1
Sb1 0.250 0.250 0.787 1


# PBE YThSb2, optimized geometry
# E_form (uncorrected) = -1.038 eV/atom
# Volume = 31.27 Å³/atom
# Energy above the most stable polymorph in this dataset = 0.002 eV/atom
# Uncorrected energy = -0.4829 Ry per atom
data_YThSb2
_chemical_formula_sum 'Y4 Th4 Sb8'
_cell_length_a 6.311
_cell_length_b 6.311
_cell_length_c 12.565
_cell_angle_alpha 90.00
_cell_angle_beta 90.00
_cell_angle_gamma 90.00
_symmetry_space_group_name_H-M 'I 41/a m d'
_symmetry_Int_Tables_number 141
loop_
_symmetry_equiv_pos_as_xyz
'x,y,z'
'-x,-y,-z'
'-y+1/4,x+3/4,z+1/4'
'y+1/4,-x+3/4,-z+1/4'
'-x+1/2,-y,z+1/2'
'x+1/2,y,-z+1/2'
'y+1/4,-x+1/4,z+3/4'
'-y+1/4,x+1/4,-z+3/4'
'x,-y,-z'
'-x,y,z'
'-y+1/4,-x+1/4,-z+3/4'
'y+1/4,x+1/4,z+3/4'
'-x+1/2,y,-z+1/2'
'x+1/2,-y,z+1/2'
'y+1/4,x+3/4,-z+1/4'
'-y+1/4,-x+3/4,z+1/4'
'x+1/2,y+1/2,z+1/2'
'-x+1/2,-y+1/2,-z+1/2'
'-y+3/4,x+1/4,z+3/4'
'y+3/4,-x+1/4,-z+3/4'
'-x,-y+1/2,z'
'x,y+1/2,-z'
'y+3/4,-x+3/4,z+1/4'
'-y+3/4,x+3/4,-z+1/4'
'x+1/2,-y+1/2,-z+1/2'
'-x+1/2,y+1/2,z+1/2'
'-y+3/4,-x+3/4,-z+1/4'
'y+3/4,x+3/4,z+1/4'
'-x,y+1/2,-z'
'x,-y+1/2,z'
'y+3/4,x+1/4,-z+3/4'
'-y+3/4,-x+1/4,z+3/4'
loop_
_atom_site_label
_atom_site_fract_x
_atom_site_fract_y
_atom_site_fract_z
_atom_site_occupancy
Y1 0.000 0.250 0.375 1
Th1 0.000 0.250 0.875 1
Sb1 0.000 0.250 0.128 1


# PBE Y2Th2Sb5, optimized geometry
# E_form (uncorrected) = -0.875 eV/atom
# Volume = 30.04 Å³/atom
# Uncorrected energy = -0.4594 Ry per atom
data_Y2Th2Sb5
_chemical_formula_sum 'Y8 Th8 Sb20'
_cell_length_a 15.767
_cell_length_b 8.272
_cell_length_c 8.291
_cell_angle_alpha 90.00
_cell_angle_beta 90.00
_cell_angle_gamma 90.00
_symmetry_space_group_name_H-M 'C m c e'
_symmetry_Int_Tables_number 64
_symmetry_space_group_name_Hall '-C 2ac 2'
loop_
_atom_site_label
_atom_site_fract_x
_atom_site_fract_y
_atom_site_fract_z
_atom_site_occupancy
Y1 0.000 0.153 0.155 1
Th1 0.193 0.000 0.500 1
Sb1 0.000 0.000 0.500 1
Sb2 0.138 0.153 0.848 1


What is the formula in the eighth record?
Y2Th2Sb5


Number 4 is which compound?
YTh2Sb


The highest volume belongs to which entry?
number 1